Density functional theory data (PBE) for Rb3SrH after structural relaxation.

Cell: 6.4997 6.4997 6.4997 Å, 90.00 90.00 90.00°
Last column: nearest neighbours and their distance in Å.
Space group Pm-3m (No. 221)
Symmetry-distinct sites (fractional):
Rb  0.0000  0.0000  0.5000 [3 per cell]  2 H 3.25
Sr  0.5000  0.5000  0.5000 [1 per cell]  12 Rb 4.60
H  0.0000  0.0000  0.0000 [1 per cell]  6 Rb 3.25

Density functional theory data (PBE) for Rb2SrH4 after structural relaxation.

Cell: 6.9792 11.7885 3.9961 Å, 90.00 90.00 90.00°
Last column: nearest neighbours and their distance in Å.
Space group Pbam (No. 55)
Symmetry-distinct sites (fractional):
Rb  0.0558  0.1804  0.0000 [4 per cell]  6 H 2.89-3.13
Sr  0.0000  0.5000  0.5000 [2 per cell]  6 H 2.44-2.53
H  0.1459  0.6884  0.5000 [4 per cell]  1 Sr 2.44
H  0.2080  0.4549  0.0000 [4 per cell]  2 Sr 2.53

Density functional theory data (PBE) for RbSr3H after structural relaxation.

Cell: 6.0232 6.0232 6.0232 Å, 90.00 90.00 90.00°
Last column: nearest neighbours and their distance in Å.
Space group Pm-3m (No. 221)
Symmetry-distinct sites (fractional):
Rb  0.0000  0.0000  0.0000 [1 per cell]  12 Sr 4.26
Sr  0.0000  0.5000  0.5000 [3 per cell]  2 H 3.01
H  0.5000  0.5000  0.5000 [1 per cell]  6 Sr 3.01

Density functional theory data (PBE) for Rb2SrTeH2 after structural relaxation.

Cell: 4.9314 4.9314 7.0367 Å, 90.00 90.00 90.00°
Last column: nearest neighbours and their distance in Å.
Space group P4/mmm (No. 123)
Symmetry-distinct sites (fractional):
Rb  0.0000  0.0000  0.2319 [2 per cell]  4 H 3.10, 1 Rb 3.26
Sr  0.5000  0.5000  0.5000 [1 per cell]  4 H 2.47
Te  0.5000  0.5000  0.0000 [1 per cell]  2 Sr 3.52, 8 Rb 3.85
H  0.0000  0.5000  0.5000 [2 per cell]  2 Sr 2.47

Density functional theory data (PBE) for RbSrTiH2 after structural relaxation.

Cell: 4.7962 4.7962 8.4285 Å, 90.00 90.00 90.00°
Last column: nearest neighbours and their distance in Å.
Space group P4/mmm (No. 123)
Symmetry-distinct sites (fractional):
Rb  0.0000  0.0000  0.0000 [1 per cell]  4 Ti 3.39
Sr  0.0000  0.0000  0.5000 [1 per cell]  4 H 2.40
Ti  0.5000  0.5000  0.0000 [1 per cell]  4 Rb 3.39
H  0.0000  0.5000  0.5000 [2 per cell]  2 Sr 2.40

Density functional theory data (PBE) for RbSr2TlH after structural relaxation.

Cell: 6.9263 6.9263 4.4505 Å, 90.00 90.00 90.00°
Last column: nearest neighbours and their distance in Å.
Space group P4/mmm (No. 123)
Symmetry-distinct sites (fractional):
Rb  0.0000  0.0000  0.0000 [1 per cell]  2 H 2.23
Sr  0.0000  0.5000  0.0000 [2 per cell]  2 Rb 3.46
Tl  0.5000  0.5000  0.5000 [1 per cell]  8 Sr 4.12, 2 Tl 4.45
H  0.0000  0.0000  0.5000 [1 per cell]  2 Rb 2.23

Number 1: VASP energy -7.263 eV/cell. Number 2: VASP energy -38.165 eV/cell. Number 3: VASP energy -9.134 eV/cell. Number 4: VASP energy -17.469 eV/cell. Number 5: VASP energy -12.895 eV/cell. Number 6: VASP energy -7.592 eV/cell.